(1)
Density functional theory data (GGA-PBE) for a geometry-optimized YTm3Pd2 structure.

## Properties
SG: No. 72
E_form: -302 kJ/mol of formula units
size of the total moment: 0.000 Bohr magnetons per cell
distance to the lowest polymorph of the same formula: 134 meV per atom

extended XYZ file:
```
12
Lattice="-5.356 0.592 -4.243 3.480 -3.700 -4.908 -1.660 -4.179 7.055" Properties=species:S:1:pos:R:3 pbc="T T T"
Pd -4.517 -1.207 -2.292
Pd 0.981 -6.080 0.196
Pd -2.964 -3.986 0.903
Pd -0.572 -3.301 -2.999
Tm -1.808 -0.629 -3.349
Tm -4.933 -1.835 0.427
Tm -3.193 -3.685 -2.027
Tm -0.068 -2.479 -5.803
Tm -0.343 -3.602 -0.069
Tm 1.397 -5.451 -2.524
Y 0.000 0.000 0.000
Y 1.740 -1.850 -2.454
```

---

(2)
Density functional theory data (GGA-PBE) for a geometry-optimized Pm6Ga2Si structure.

## Properties
SG: No. 71
raw formation energy: -0.383 eV/atom
size of the total moment: 0.000 Bohr magnetons per cell
distance to the lowest polymorph of the same formula: 50 meV per atom

extended XYZ file:
```
18
Lattice="-4.020 0.631 -7.710 -2.949 -6.849 4.516 -1.545 7.067 4.865" Properties=species:S:1:pos:R:3 pbc="T T T"
Pm -3.499 -1.726 2.174
Pm -6.111 -3.255 -2.852
Pm -2.789 -0.291 -1.329
Pm -2.403 4.105 4.523
Pm -5.025 -1.652 5.360
Pm -4.438 1.676 6.419
Pm -5.015 2.575 -0.503
Pm -5.725 1.140 3.000
Pm -2.245 1.570 1.842
Pm -4.076 -0.827 -4.748
Pm -3.489 2.501 -3.689
Pm -6.269 -0.721 -0.171
Ga -4.035 -3.082 -0.448
Ga -3.581 4.953 -1.831
Ga -4.479 3.931 2.119
Ga -1.984 2.745 -1.014
Si 0.000 0.000 0.000
Si -2.247 0.109 4.690
```

---

(3)
Density functional theory data (GGA-PBE) for a geometry-optimized SnPb3 structure.

## Properties
SG: No. 65
E_form: 6 kJ/mol of formula units
size of the total moment: 0.000 Bohr magnetons per cell
distance to the lowest polymorph of the same formula: 0 meV per atom

extended XYZ file:
```
4
Lattice="3.493 0.000 0.000 0.000 6.078 0.000 0.000 -1.973 5.748" Properties=species:S:1:pos:R:3 pbc="T T T"
Pb 1.747 -0.986 2.874
Pb 1.747 3.039 0.000
Pb 0.000 2.052 2.874
Sn 0.000 0.000 0.000
```

---

(4)
Density functional theory data (GGA-PBE) for a geometry-optimized Na3Nb3WN8 structure.

## Properties
SG: No. 166
raw formation energy: -0.588 eV/atom
size of the total moment: 0.000 Bohr magnetons per cell

extended XYZ file:
```
15
Lattice="-2.416 -5.092 2.644 6.160 0.500 -0.737 -2.883 3.868 4.817" Properties=species:S:1:pos:R:3 pbc="T T T"
Nb -2.650 -0.612 3.730
Nb 1.639 2.184 2.040
Nb 0.430 -0.362 3.362
N 2.167 -0.624 4.560
N 1.779 0.086 1.792
N 3.414 2.003 3.197
N -0.918 -0.810 4.931
N -2.553 -2.727 3.527
N 0.236 1.745 3.577
N 0.625 -2.469 3.146
N -1.306 -0.100 2.163
W -1.441 1.934 2.408
Na 1.872 -2.296 0.953
Na 3.080 0.250 -0.369
Na 0.000 0.000 0.000
```

---

(5)
Density functional theory data (GGA-PBE) for a geometry-optimized Sm12Y3Ho structure.

## Properties
SG: No. 123
E_form: 25 kJ/mol of formula units
size of the total moment: 0.000 Bohr magnetons per cell

extended XYZ file:
```
16
Lattice="-2.265 -2.304 -3.957 -3.331 -2.201 3.188 -12.546 15.943 -2.100" Properties=species:S:1:pos:R:3 pbc="T T T"
Sm -12.121 12.810 -3.818
Sm -9.510 8.868 0.281
Sm -12.653 12.862 -0.245
Sm -8.977 8.817 -3.292
Sm -12.214 9.713 -1.961
Sm -9.071 5.719 -1.435
Sm -5.928 1.725 -0.909
Sm -3.224 0.880 1.333
Sm -6.367 4.874 0.807
Sm -5.834 4.822 -2.766
Sm -2.798 -2.253 -0.385
Sm -2.691 0.828 -2.240
Y -6.273 7.971 -1.050
Y -3.131 3.979 -0.524
Y -9.415 11.964 -1.576
Ho 0.000 0.000 0.000
```

---

(6)
Density functional theory data (GGA-PBE) for a geometry-optimized Ba2NaAgIr structure.

## Properties
SG: No. 123
E_form: 325 kJ/mol of formula units
size of the total moment: 0.000 Bohr magnetons per cell

extended XYZ file:
```
5
Lattice="-3.345 0.484 -5.135 3.886 -1.040 -2.630 -1.376 -5.982 0.333" Properties=species:S:1:pos:R:3 pbc="T T T"
Ag -0.418 -3.270 -3.716
Ba -0.688 -2.991 0.167
Ba -1.673 0.242 -2.568
Na 0.000 0.000 0.000
Ir 1.943 -0.520 -1.315
```

---

(7)
Density functional theory data (GGA-PBE) for a geometry-optimized SrSc2Cd structure.

## Properties
SG: No. 166
E_form: 182 kJ/mol of formula units
size of the total moment: 0.001 Bohr magnetons per cell
distance to the lowest polymorph of the same formula: 497 meV per atom

extended XYZ file:
```
4
Lattice="1.956 0.000 12.190 -0.978 1.694 12.190 -0.978 -1.694 12.190" Properties=species:S:1:pos:R:3 pbc="T T T"
Cd 0.000 0.000 0.000
Sr 0.000 0.000 18.286
Sc 0.000 0.000 33.521
Sc 0.000 0.000 3.050
```

---

(8)
Density functional theory data (GGA-PBE) for a geometry-optimized BaAlCl3 structure.

## Properties
SG: No. 221
raw formation energy: -1.342 eV/atom
size of the total moment: 0.000 Bohr magnetons per cell
distance to the lowest polymorph of the same formula: 0 meV per atom

extended XYZ file:
```
5
Lattice="5.999 0.000 0.000 0.000 5.999 0.000 0.000 0.000 5.999" Properties=species:S:1:pos:R:3 pbc="T T T"
Cl 3.000 0.000 0.000
Cl 0.000 0.000 3.000
Cl 0.000 3.000 0.000
Ba 0.000 0.000 0.000
Al 3.000 3.000 3.000
```

---

(9)
Density functional theory data (GGA-PBE) for a geometry-optimized CuReW2 structure.

## Properties
SG: No. 6
E_form: 86 kJ/mol of formula units
size of the total moment: 0.000 Bohr magnetons per cell
distance to the lowest polymorph of the same formula: 0 meV per atom

extended XYZ file:
```
4
Lattice="-1.125 -0.894 -4.197 -0.298 -2.584 0.630 -4.979 0.040 1.326" Properties=species:S:1:pos:R:3 pbc="T T T"
Re -4.550 -2.226 -0.651
Cu -2.615 -1.528 1.026
W -5.192 -2.484 1.921
W -1.961 -1.015 -1.603
```

---

(10)
Density functional theory data (GGA-PBE) for a geometry-optimized PrMgAlZn structure.

## Properties
SG: No. 216
E_form: -101 kJ/mol of formula units
size of the total moment: 0.000 Bohr magnetons per cell

extended XYZ file:
```
4
Lattice="5.017 0.000 0.000 2.508 4.345 0.000 2.508 1.448 4.096" Properties=species:S:1:pos:R:3 pbc="T T T"
Pr 7.525 4.345 3.072
Al 5.017 2.896 2.048
Zn 0.000 0.000 0.000
Mg 2.508 1.448 1.024
```

---

(11)
Density functional theory data (GGA-PBE) for a geometry-optimized Cs3La2ErS6 structure.

## Properties
SG: No. 12
raw formation energy: -1.862 eV/atom
size of the total moment: 0.000 Bohr magnetons per cell

extended XYZ file:
```
12
Lattice="-3.349 -5.867 -2.960 5.299 -0.935 5.045 -6.193 2.475 5.166" Properties=species:S:1:pos:R:3 pbc="T T T"
La 2.416 -2.579 2.376
La -0.466 -4.223 -0.291
Cs 0.751 -0.525 6.284
Cs -2.121 -2.164 3.625
Cs -4.994 -3.802 0.966
Er 0.000 0.000 0.000
S -2.155 -2.492 7.118
S -2.088 -1.836 0.132
S 0.673 -0.261 2.688
S 0.304 -4.592 2.501
S -4.916 -4.066 4.562
S -4.547 0.264 4.750
```

---

Respective total energy values: -5.57; -4.82; -3.77; -8.17; -5.02; -2.70; -3.34; -3.58; -10.39; -3.11; -5.34 eV/atom.